[1]
Entry from Alexandria: a relaxed structure of Sc2VFe3 (PBE-GGA).

Structure (POSCAR):
```
Sc2VFe3
1.0
5.069 0.000 0.000
-2.535 4.390 0.000
0.000 0.000 7.809
Sc V Fe
4 2 6
Direct
0.333 0.667 0.062
0.333 0.667 0.438
0.667 0.333 0.562
0.667 0.333 0.938
0.000 0.000 0.000
0.000 0.000 0.500
0.172 0.343 0.750
0.172 0.828 0.750
0.343 0.172 0.250
0.657 0.828 0.750
0.828 0.172 0.250
0.828 0.657 0.250
```

Calculated values
energy of formation from the pure elements = -236 meV/atom
crystal system = hexagonal
VASP energy = -8.10 eV per atom
volume = 174 Å³ per cell
D(E_F) = 7.9 states/eV per cell

[2]
Entry from Alexandria: a relaxed structure of Sc3VFe (PBE-GGA).

Structure (POSCAR):
```
Sc3VFe
1.0
4.814 0.000 0.000
0.000 4.814 0.000
0.000 0.000 4.814
Sc V Fe
3 1 1
Direct
0.000 0.000 0.500
0.000 0.500 0.000
0.500 0.000 0.000
0.000 0.000 0.000
0.500 0.500 0.500
```

Calculated values
energy of formation from the pure elements = 859 meV/atom
crystal system = cubic
VASP energy = -6.46 eV per atom
volume = 112 Å³ per cell
energy relative to the lowest polymorph listed for this composition = 0.4837 eV/atom
D(E_F) = 8.5 states/eV per cell

What is the D(E_F) in the second record?
8.5 states/eV per cell